Ba2TcPb | PBE | relaxed

```
Ba2TcPb
1.0
4.747 0.000 0.000
0.000 5.013 -0.001
0.000 2.508 6.268
Pb Tc Ba
1 1 2
direct
0.000 0.683 0.510
0.500 0.572 0.732
0.500 0.265 0.345
0.000 0.981 0.913
```

Properties
formation energy	28.7	kJ/mol of atoms
N(E_F)	4.997	states/eV/cell
total magnetic moment	0.93	μB per cell

---

Ba2TcPb | PBE | relaxed

```
Ba2TcPb
1.0
-2.521 -3.166 2.599
3.066 -1.126 1.603
2.119 4.122 7.077
Ba Pb Tc
2 1 1
direct
0.000 0.015 0.984
0.000 0.485 0.516
0.500 0.250 0.250
0.500 0.750 0.750
```

Properties
formation energy	51.7	kJ/mol of atoms
N(E_F)	5.710	states/eV/cell
total magnetic moment	2.15	μB per cell

---

BaTcPb2 | PBE | relaxed

```
BaTcPb2
1.0
-1.212 -3.064 3.417
0.557 -4.664 -0.688
5.688 -2.226 3.320
Pb Ba Tc
2 1 1
direct
0.964 0.964 0.107
0.204 0.204 0.389
0.756 0.756 0.732
0.576 0.576 0.272
```

Properties
formation energy	23.3	kJ/mol of atoms
N(E_F)	3.638	states/eV/cell
total magnetic moment	0.00	μB per cell

---

BaTcPb2 | PBE | relaxed

```
BaTcPb2
1.0
-0.821 -3.859 4.687
-4.499 -2.788 -3.084
2.967 -8.646 -2.595
Pb Tc Ba
4 2 2
direct
0.324 0.625 0.250
0.875 0.676 0.750
0.426 0.125 0.250
0.375 0.574 0.750
0.250 0.750 0.500
0.500 0.500 0.000
0.000 0.000 0.000
0.750 0.250 0.500
```

Properties
formation energy	37.1	kJ/mol of atoms
N(E_F)	8.821	states/eV/cell
total magnetic moment	0.00	μB per cell